Entry 1:
# Er2Tm2In3, optimized geometry, DFT GGA-PBE
# * crystal system: monoclinic
# * E_form: -1.88 eV/f.u.
data_Er2Tm2In3
_chemical_formula_sum 'Er4 Tm4 In6'
_space_group_name_H-M_alt 'C 1 2/m 1'
_space_group_IT_number 12
_space_group_name_Hall '-C 2y'
_cell_length_a 12.965
_cell_length_b 3.702
_cell_length_c 8.859
_cell_angle_alpha 90.00
_cell_angle_beta 112.94
_cell_angle_gamma 90.00
loop_
_atom_site_label
_atom_site_type_symbol
_atom_site_fract_x
_atom_site_fract_y
_atom_site_fract_z
Er1 Er 0.116 0.000 0.453
Tm1 Tm 0.124 0.500 0.815
In1 In 0.000 0.000 0.000
In2 In 0.184 0.500 0.212

***

Entry 2:
# Er3TmIn4, optimized geometry, DFT GGA-PBE
# * crystal system: orthorhombic
# * E_form: -3.49 eV/f.u.
data_Er3TmIn4
_chemical_formula_sum 'Er6 Tm2 In8'
_space_group_name_H-M_alt 'P m m a'
_space_group_IT_number 51
_space_group_name_Hall '-P 2a 2a'
_cell_length_a 10.685
_cell_length_b 7.118
_cell_length_c 5.444
_cell_angle_alpha 90.00
_cell_angle_beta 90.00
_cell_angle_gamma 90.00
loop_
_atom_site_label
_atom_site_type_symbol
_atom_site_fract_x
_atom_site_fract_y
_atom_site_fract_z
Er1 Er 0.000 0.000 0.000
Er2 Er 0.250 0.000 0.423
Er3 Er 0.250 0.500 0.421
Tm1 Tm 0.000 0.500 0.000
In1 In 0.000 0.251 0.500
In2 In 0.250 0.251 0.914

***

Entry 3:
# ErTmIn, optimized geometry, DFT GGA-PBE
# * crystal system: tetragonal
# * E_form: 1.91 eV/f.u.
data_ErTmIn
_chemical_formula_sum 'Er1 Tm1 In1'
_space_group_name_H-M_alt 'P 4/m m m'
_space_group_IT_number 123
_space_group_name_Hall '-P 4 2'
_cell_length_a 4.208
_cell_length_b 4.208
_cell_length_c 6.172
_cell_angle_alpha 90.00
_cell_angle_beta 90.00
_cell_angle_gamma 90.00
loop_
_atom_site_label
_atom_site_type_symbol
_atom_site_fract_x
_atom_site_fract_y
_atom_site_fract_z
Er1 Er 0.000 0.000 0.000
Tm1 Tm 0.000 0.000 0.500
In1 In 0.500 0.500 0.000

***

Entry 4:
# ErTm3In, optimized geometry, DFT GGA-PBE
# * crystal system: orthorhombic
# * E_form: -0.43 eV/f.u.
data_ErTm3In
_chemical_formula_sum 'Er2 Tm6 In2'
_space_group_name_H-M_alt 'P m m n'
_space_group_IT_number 59
_cell_length_a 5.247
_cell_length_b 8.438
_cell_length_c 6.711
_cell_angle_alpha 90.00
_cell_angle_beta 90.00
_cell_angle_gamma 90.00
loop_
_space_group_symop_operation_xyz
'x,y,z'
'-x,-y,-z'
'-x+1/2,-y+1/2,z'
'x+1/2,y+1/2,-z'
'x+1/2,-y,-z'
'-x+1/2,y,z'
'-x,y+1/2,-z'
'x,-y+1/2,z'
loop_
_atom_site_label
_atom_site_type_symbol
_atom_site_fract_x
_atom_site_fract_y
_atom_site_fract_z
Er1 Er 0.250 0.250 0.059
Tm1 Tm 0.250 0.559 0.730
Tm2 Tm 0.250 0.750 0.213
In1 In 0.250 0.250 0.496

***

Entry 5:
# ErTm6In5, optimized geometry, DFT GGA-PBE
# * crystal system: orthorhombic
# * E_form: -4.18 eV/f.u.
data_ErTm6In5
_chemical_formula_sum 'Er2 Tm12 In10'
_space_group_name_H-M_alt 'I m m m'
_space_group_IT_number 71
_space_group_name_Hall '-I 2 2'
_cell_length_a 5.324
_cell_length_b 7.397
_cell_length_c 16.126
_cell_angle_alpha 90.00
_cell_angle_beta 90.00
_cell_angle_gamma 90.00
loop_
_atom_site_label
_atom_site_type_symbol
_atom_site_fract_x
_atom_site_fract_y
_atom_site_fract_z
Er1 Er 0.000 0.000 0.000
Tm1 Tm 0.000 0.239 0.500
Tm2 Tm 0.000 0.255 0.171
In1 In 0.000 0.000 0.332
In2 In 0.000 0.500 0.000
In3 In 0.000 0.500 0.347

***

Entry 6:
# ErTm2In, optimized geometry, DFT GGA-PBE
# * crystal system: tetragonal
# * E_form: -0.93 eV/f.u.
data_ErTm2In
_chemical_formula_sum 'Er1 Tm2 In1'
_space_group_name_H-M_alt 'P 4/m m m'
_space_group_IT_number 123
_space_group_name_Hall '-P 4 2'
_cell_length_a 3.536
_cell_length_b 3.536
_cell_length_c 9.079
_cell_angle_alpha 90.00
_cell_angle_beta 90.00
_cell_angle_gamma 90.00
loop_
_atom_site_label
_atom_site_type_symbol
_atom_site_fract_x
_atom_site_fract_y
_atom_site_fract_z
Er1 Er 0.000 0.000 0.000
Tm1 Tm 0.500 0.500 0.270
In1 In 0.000 0.000 0.500

***

Entry 7:
# Er4TmIn2, optimized geometry, DFT GGA-PBE
# * crystal system: tetragonal
# * E_form: -0.70 eV/f.u.
data_Er4TmIn2
_chemical_formula_sum 'Er8 Tm2 In4'
_space_group_name_H-M_alt 'P 42/m n m'
_space_group_IT_number 136
_space_group_name_Hall '-P 4n 2n'
_cell_length_a 8.956
_cell_length_b 8.956
_cell_length_c 5.276
_cell_angle_alpha 90.00
_cell_angle_beta 90.00
_cell_angle_gamma 90.00
loop_
_atom_site_label
_atom_site_type_symbol
_atom_site_fract_x
_atom_site_fract_y
_atom_site_fract_z
Er1 Er 0.079 0.334 0.000
Tm1 Tm 0.000 0.000 0.500
In1 In 0.247 0.247 0.500

***

Entry 8:
# Er3Tm4In, optimized geometry, DFT GGA-PBE
# * crystal system: orthorhombic
# * E_form: -0.89 eV/f.u.
data_Er3Tm4In
_chemical_formula_sum 'Er6 Tm8 In2'
_space_group_name_H-M_alt 'P m n 21'
_space_group_IT_number 31
_space_group_name_Hall 'P 2ac -2'
_cell_length_a 11.070
_cell_length_b 6.916
_cell_length_c 6.076
_cell_angle_alpha 90.00
_cell_angle_beta 90.00
_cell_angle_gamma 90.00
loop_
_atom_site_label
_atom_site_type_symbol
_atom_site_fract_x
_atom_site_fract_y
_atom_site_fract_z
Er1 Er 0.000 0.129 0.000
Er2 Er 0.242 0.117 0.337
Tm1 Tm 0.000 0.374 0.529
Tm2 Tm 0.000 0.630 0.005
Tm3 Tm 0.241 0.625 0.356
In1 In 0.000 0.875 0.515